# 1
This record from Alexandria via LeMat-Bulk describes a relaxed structure of H3IrF. The functional is PBE-GGA.

Cell lengths 3.4326, 3.4326, 3.4326 Å; angles 90.00, 90.00, 90.00 degrees
Positions (direct):
H  0.0000  0.0000  0.5000
H  0.0000  0.5000  0.0000
H  0.5000  0.0000  0.0000
Ir  0.0000  0.0000  0.0000
F  0.5000  0.5000  0.5000

Values from the calculation:
Symmetry: Pm-3m, No. 221
Excess energy over the best structure of this formula in the dataset (meV/atom): 0

=====

# 2
This record from Alexandria via LeMat-Bulk describes a relaxed structure of NaAcBr2O. The functional is PBE-GGA.

Cell lengths 4.2534, 4.2534, 14.5969 Å; angles 90.00, 90.00, 90.00 degrees
Positions (direct):
Na  0.2500  0.2500  0.0948
Na  0.7500  0.7500  0.9052
Ac  0.2500  0.2500  0.5876
Ac  0.7500  0.7500  0.4124
Br  0.2500  0.2500  0.3043
Br  0.2500  0.2500  0.8915
Br  0.7500  0.7500  0.1085
Br  0.7500  0.7500  0.6957
O  0.2500  0.7500  0.5000
O  0.7500  0.2500  0.5000

Values from the calculation:
Symmetry: P4/nmm, No. 129
Uncorrected formation energy (meV per atom): -2397.7

=====

# 3
This record from Alexandria via LeMat-Bulk describes a relaxed structure of Cs2TlSnBr5. The functional is PBE-GGA.

Cell lengths 5.7614, 5.7614, 12.4126 Å; angles 90.00, 90.00, 90.00 degrees
Positions (direct):
Cs  0.0000  0.0000  0.2158
Cs  0.0000  0.0000  0.7842
Tl  0.5000  0.5000  0.5000
Sn  0.5000  0.5000  0.0000
Br  0.0000  0.0000  0.5000
Br  0.0000  0.5000  0.0000
Br  0.5000  0.0000  0.0000
Br  0.5000  0.5000  0.2418
Br  0.5000  0.5000  0.7582

Values from the calculation:
Symmetry: P4/mmm, No. 123
Uncorrected formation energy (meV per atom): -1227.9

=====

# 4
This record from Alexandria via LeMat-Bulk describes a relaxed structure of Ca3Ge3Au8. The functional is PBE-GGA.

Cell lengths 8.4500, 8.4500, 9.1585 Å; angles 120.72, 120.72, 32.00 degrees
Positions (direct):
Ca  0.0000  0.0000  0.0000
Ca  0.2930  0.2930  0.2781
Ca  0.7070  0.7070  0.7219
Ge  0.0000  0.0000  0.5000
Ge  0.3318  0.3318  0.6819
Ge  0.6682  0.6682  0.3181
Au  0.1307  0.1307  0.8417
Au  0.1418  0.1418  0.4229
Au  0.3466  0.3466  0.9694
Au  0.4945  0.4945  0.6718
Au  0.5055  0.5055  0.3282
Au  0.6534  0.6534  0.0306
Au  0.8582  0.8582  0.5771
Au  0.8693  0.8693  0.1583

Values from the calculation:
Energy of formation from the pure elements (kJ per mole of atoms): -48.08
Symmetry: C2/m, No. 12
Excess energy over the best structure of this formula in the dataset (meV/atom): 16